PaZn3Cu4O12 | PBE | relaxed

The space group is Im-3 (No. 204) and the conventional cell measures 7.428, 7.428 and 7.428 Å, with angles of 90.00, 90.00 and 90.00 degrees. The inequivalent atoms are Pa at (0.000, 0.000, 0.000), Zn at (0.000, 0.000, 0.500), Cu at (0.250, 0.250, 0.250) and O at (0.000, 0.173, 0.290).

The total energy comes out at -5.60 eV/atom. The value obtained for the density of states at the Fermi level is 7.81 states/eV/f.u. Its raw formation energy is -1.142 eV/atom.